(1)
BaLiMn3 | Alexandria | GGA-PBE | relaxed; crystal system = cubic; V = 117.6 Å³/cell; offset from the most stable computed form = 0 meV/atom; VASP energy = -5.383 eV/atom
1.0
4.899 0.000 0.000
0.000 4.899 0.000
0.000 0.000 4.899
Ba Li Mn
1 1 3
direct
0.000 0.000 0.000
0.500 0.500 0.500
0.000 0.500 0.500
0.500 0.000 0.500
0.500 0.500 0.000

---

(2)
Mg6AlCd | Alexandria | GGA-PBE | relaxed; crystal system = triclinic; V = 172.7 Å³/cell; offset from the most stable computed form = 25 meV/atom; VASP energy = -1.787 eV/atom
1.0
5.564 0.000 0.000
-0.030 5.564 0.000
-0.044 -0.006 5.580
Mg Al Cd
6 1 1
direct
0.001 0.000 0.251
0.251 0.501 0.499
0.499 0.751 0.002
0.501 0.249 0.998
0.749 0.499 0.501
0.999 0.000 0.749
0.500 0.000 0.500
0.000 0.500 0.000

---

(3)
SrLa2Tc | Alexandria | GGA-PBE | relaxed; crystal system = tetragonal; V = 115.3 Å³/cell; offset from the most stable computed form = 427 meV/atom; VASP energy = -4.946 eV/atom
1.0
5.039 0.000 0.000
0.000 5.039 0.000
0.000 0.000 4.542
Sr La Tc
1 2 1
direct
0.000 0.000 0.000
0.000 0.500 0.500
0.500 0.000 0.500
0.500 0.500 0.000

---

(4)
BaCa2NbN4 | Alexandria | GGA-PBE | relaxed; crystal system = orthorhombic; V = 312.3 Å³/cell; ΔE_f (raw) = -657 kJ/mol of formula units; VASP energy = -7.013 eV/atom
1.0
8.008 0.000 0.000
0.000 6.562 0.000
0.000 0.000 5.944
Ba Ca Nb N
2 4 2 8
direct
0.000 0.161 0.000
0.500 0.839 0.500
0.247 0.328 0.510
0.253 0.672 0.010
0.747 0.672 0.010
0.753 0.328 0.510
0.000 0.810 0.525
0.500 0.190 0.025
0.000 0.110 0.473
0.000 0.782 0.851
0.202 0.673 0.406
0.298 0.327 0.906
0.500 0.218 0.351
0.500 0.890 0.973
0.702 0.327 0.906
0.798 0.673 0.406

---

(5)
PuNi4Sb | Alexandria | GGA-PBE | relaxed; crystal system = cubic; V = 89.0 Å³/cell; ΔE_f (raw) = -127 kJ/mol of formula units; offset from the most stable computed form = 0 meV/atom; VASP energy = -7.150 eV/atom
1.0
0.000 3.543 3.543
3.543 0.000 3.543
3.543 3.543 0.000
Pu Ni Sb
1 4 1
direct
0.000 0.000 0.000
0.374 0.374 0.374
0.374 0.374 0.877
0.374 0.877 0.374
0.877 0.374 0.374
0.750 0.750 0.750

---

(6)
Cs3Dy3PuSe8 | Alexandria | GGA-PBE | relaxed; crystal system = trigonal; V = 524.5 Å³/cell; ΔE_f (raw) = -2375 kJ/mol of formula units; VASP energy = -5.546 eV/atom
1.0
4.213 2.433 8.529
-4.213 2.433 8.529
0.000 -4.865 8.529
Cs Dy Pu Se
3 3 1 8
direct
0.000 0.500 0.500
0.500 0.000 0.500
0.500 0.500 0.000
0.000 0.000 0.500
0.000 0.500 0.000
0.500 0.000 0.000
0.500 0.500 0.500
0.228 0.228 0.228
0.231 0.725 0.725
0.275 0.275 0.769
0.275 0.769 0.275
0.725 0.231 0.725
0.725 0.725 0.231
0.769 0.275 0.275
0.772 0.772 0.772

---

(7)
Nb3ReMo | Alexandria | GGA-PBE | relaxed; crystal system = cubic; V = 110.3 Å³/cell; offset from the most stable computed form = 1747 meV/atom; VASP energy = -9.178 eV/atom
1.0
4.796 0.000 0.000
0.000 4.796 0.000
0.000 0.000 4.796
Nb Re Mo
3 1 1
direct
0.000 0.000 0.500
0.000 0.500 0.000
0.500 0.000 0.000
0.000 0.000 0.000
0.500 0.500 0.500

---

(8)
TaCr7 | Alexandria | GGA-PBE | relaxed; crystal system = trigonal; V = 199.4 Å³/cell; offset from the most stable computed form = 0 meV/atom; VASP energy = -9.849 eV/atom
1.0
4.122 2.380 3.389
-4.122 2.380 3.389
0.000 -4.759 3.389
Ta Cr
2 14
direct
0.131 0.131 0.131
0.869 0.869 0.869
0.130 0.130 0.623
0.130 0.620 0.620
0.130 0.623 0.130
0.377 0.870 0.870
0.380 0.380 0.870
0.380 0.870 0.380
0.381 0.381 0.381
0.619 0.619 0.619
0.620 0.130 0.620
0.620 0.620 0.130
0.623 0.130 0.130
0.870 0.377 0.870
0.870 0.380 0.380
0.870 0.870 0.377

---

- Which value of V does entry 7 give?
  110.3 Å³/cell

---

- Among the records above, which one has the highest V?
  Cs3Dy3PuSe8

---

- VASP energy of number 8 (TaCr7)?
  -9.849 eV/atom